DFT (GGA-PBE) results for a relaxed Pa3InSe6 crystal.

CIF file:
```
data_Pa3InSe6
_chemical_formula_sum 'Pa12 In4 Se24'
_cell_length_a 11.097
_cell_length_b 13.101
_cell_length_c 7.222
_cell_angle_alpha 90.00
_cell_angle_beta 90.00
_cell_angle_gamma 90.00
_space_group_name_H-M_alt 'C m c 21'
_space_group_IT_number 36
loop_
_space_group_symop_operation_xyz
'x,y,z'
'-x,-y,z+1/2'
'-x,y,z'
'x,-y,z+1/2'
'x+1/2,y+1/2,z'
'-x+1/2,-y+1/2,z+1/2'
'-x+1/2,y+1/2,z'
'x+1/2,-y+1/2,z+1/2'
loop_
_atom_site_label
_atom_site_fract_x
_atom_site_fract_y
_atom_site_fract_z
Pa1 0.000 0.101 0.000
Pa2 0.182 0.405 0.103
In1 0.000 0.238 0.620
Se1 0.000 0.276 0.240
Se2 0.000 0.452 0.798
Se3 0.158 0.043 0.303
Se4 0.220 0.214 0.912
```

Calculated values
Its formation energy without anion corrections is -1.139 eV per atom. For the spin magnetization, the calculation gives 0.394 μB/atom.